The following is a DFT calculation (PBE-GGA) of an optimized crystal structure of RbNa4Hg5.

Calculated values
E_form, eV/atom: -0.233
Volume, Å³ per atom: 28.95

a b c (Å): 3.9293 3.9293 18.7494
angles (deg): 90.00 90.00 90.00
Element x y z (fractional)
Rb1 0.0000 0.0000 0.0000
Na1 0.0000 0.0000 0.2237
Na2 0.0000 0.0000 0.4081
Na3 0.0000 0.0000 0.5919
Na4 0.0000 0.0000 0.7763
Hg1 0.5000 0.5000 0.1385
Hg2 0.5000 0.5000 0.3146
Hg3 0.5000 0.5000 0.5000
Hg4 0.5000 0.5000 0.6854
Hg5 0.5000 0.5000 0.8615

The following is a DFT calculation (PBE-GGA) of an optimized crystal structure of Rb4Na3Hg.

Calculated values
E_form, eV/atom: -0.033
Volume, Å³ per atom: 57.98

a b c (Å): 5.5230 5.6465 14.8737
angles (deg): 90.00 90.00 90.00
Element x y z (fractional)
Rb1 0.0000 0.0000 0.0000
Rb2 0.0000 0.5000 0.2711
Rb3 0.5000 0.0000 0.4594
Rb4 0.5000 0.5000 0.7880
Na1 0.0000 0.0000 0.6969
Na2 0.0000 0.5000 0.5598
Na3 0.5000 0.5000 0.0792
Hg1 0.5000 0.0000 0.1939

The following is a DFT calculation (PBE-GGA) of an optimized crystal structure of Rb4NaHg2.

Calculated values
E_form, eV/atom: -0.105
Volume, Å³ per atom: 56.57
Energy above the most stable polymorph in this dataset, eV per atom: 0.0055

a b c (Å): 11.9667 11.9667 11.9667
angles (deg): 30.70 30.70 30.70
Element x y z (fractional)
Rb1 0.1143 0.1143 0.1143
Rb2 0.2953 0.2953 0.2953
Rb3 0.7047 0.7047 0.7047
Rb4 0.8857 0.8857 0.8857
Na1 0.5000 0.5000 0.5000
Hg1 0.4072 0.4072 0.4072
Hg2 0.5928 0.5928 0.5928

The following is a DFT calculation (PBE-GGA) of an optimized crystal structure of RbNa2Hg9.

Calculated values
E_form, eV/atom: -0.173
Volume, Å³ per atom: 28.76
Energy above the most stable polymorph in this dataset, eV per atom: 0.0000

a b c (Å): 4.8778 4.8778 14.5045
angles (deg): 90.00 90.00 90.00
Element x y z (fractional)
Rb1 0.0000 0.0000 0.0000
Na1 0.0000 0.0000 0.3463
Na2 0.0000 0.0000 0.6537
Hg1 0.0000 0.5000 0.1883
Hg2 0.0000 0.5000 0.5000
Hg3 0.0000 0.5000 0.8117
Hg4 0.5000 0.0000 0.1883
Hg5 0.5000 0.0000 0.5000
Hg6 0.5000 0.0000 0.8117
Hg7 0.5000 0.5000 0.0000
Hg8 0.5000 0.5000 0.3439
Hg9 0.5000 0.5000 0.6561

The following is a DFT calculation (PBE-GGA) of an optimized crystal structure of Rb3Na2Hg2.

Calculated values
E_form, eV/atom: -0.141
Volume, Å³ per atom: 46.55

a b c (Å): 8.1339 9.2868 17.2543
angles (deg): 90.00 90.00 90.00
Element x y z (fractional)
Rb1 0.0847 0.0727 0.1120
Rb2 0.0847 0.0727 0.3880
Rb3 0.0847 0.4273 0.6120
Rb4 0.0847 0.4273 0.8880
Rb5 0.3640 0.7322 0.2500
Rb6 0.3640 0.7678 0.7500
Rb7 0.6360 0.2322 0.2500
Rb8 0.6360 0.2678 0.7500
Rb9 0.9153 0.5727 0.1120
Rb10 0.9153 0.5727 0.3880
Rb11 0.9153 0.9273 0.6120
Rb12 0.9153 0.9273 0.8880
Na1 0.3968 0.0737 0.5772
Na2 0.3968 0.0737 0.9228
Na3 0.3968 0.4263 0.0772
Na4 0.3968 0.4263 0.4228
Na5 0.6032 0.5737 0.5772
Na6 0.6032 0.5737 0.9228
Na7 0.6032 0.9263 0.0772
Na8 0.6032 0.9263 0.4228
Hg1 0.2029 0.1350 0.7500
Hg2 0.2029 0.3650 0.2500
Hg3 0.2931 0.7500 0.0000
Hg4 0.2931 0.7500 0.5000
Hg5 0.7069 0.2500 0.0000
Hg6 0.7069 0.2500 0.5000
Hg7 0.7971 0.6350 0.7500
Hg8 0.7971 0.8650 0.2500

The following is a DFT calculation (PBE-GGA) of an optimized crystal structure of Rb6Na12Hg.

Calculated values
E_form, eV/atom: 0.046
Volume, Å³ per atom: 51.20

a b c (Å): 10.1960 10.1960 10.1960
angles (deg): 102.38 102.38 102.38
Element x y z (fractional)
Rb1 0.0678 0.3803 0.3021
Rb2 0.3021 0.0678 0.3803
Rb3 0.3803 0.3021 0.0678
Rb4 0.6197 0.6979 0.9322
Rb5 0.6979 0.9322 0.6197
Rb6 0.9322 0.6197 0.6979
Na1 0.0299 0.6962 0.1416
Na2 0.1416 0.0299 0.6962
Na3 0.2619 0.4084 0.6913
Na4 0.3038 0.8584 0.9701
Na5 0.3087 0.7381 0.5916
Na6 0.4084 0.6913 0.2619
Na7 0.5916 0.3087 0.7381
Na8 0.6913 0.2619 0.4084
Na9 0.6962 0.1416 0.0299
Na10 0.7381 0.5916 0.3087
Na11 0.8584 0.9701 0.3038
Na12 0.9701 0.3038 0.8584
Hg1 0.5000 0.5000 0.5000

The following is a DFT calculation (PBE-GGA) of an optimized crystal structure of RbNa2Hg10.

Calculated values
E_form, eV/atom: -0.155
Volume, Å³ per atom: 29.30

a b c (Å): 10.7566 8.7275 7.8461
angles (deg): 80.74 53.21 46.05
Element x y z (fractional)
Rb1 0.0000 0.0000 0.0000
Na1 0.0000 0.5000 0.0000
Na2 0.5000 0.0000 0.5000
Hg1 0.0000 0.0000 0.5000
Hg2 0.0027 0.3498 0.6502
Hg3 0.2772 0.4984 0.5016
Hg4 0.3498 0.0027 0.9973
Hg5 0.4984 0.2772 0.7228
Hg6 0.5000 0.5000 0.0000
Hg7 0.5016 0.7228 0.2772
Hg8 0.6502 0.9973 0.0027
Hg9 0.7228 0.5016 0.4984
Hg10 0.9973 0.6502 0.3498

The following is a DFT calculation (PBE-GGA) of an optimized crystal structure of RbNaHg2.

Calculated values
E_form, eV/atom: -0.195
Volume, Å³ per atom: 39.28
Energy above the most stable polymorph in this dataset, eV per atom: 0.0330

a b c (Å): 5.3200 8.9283 7.1016
angles (deg): 90.00 111.30 90.00
Element x y z (fractional)
Rb1 0.0590 0.2500 0.1239
Rb2 0.9410 0.7500 0.8761
Na1 0.3404 0.2500 0.6834
Na2 0.6596 0.7500 0.3166
Hg1 0.2324 0.5801 0.4642
Hg2 0.2324 0.9199 0.4642
Hg3 0.7676 0.0801 0.5358
Hg4 0.7676 0.4199 0.5358

The following is a DFT calculation (PBE-GGA) of an optimized crystal structure of Rb5Na2Hg12.

Calculated values
E_form, eV/atom: -0.213
Volume, Å³ per atom: 35.04

a b c (Å): 10.7066 10.7066 8.1469
angles (deg): 93.90 93.90 45.63
Element x y z (fractional)
Rb1 0.0000 0.0000 0.0000
Rb2 0.2415 0.2415 0.9317
Rb3 0.2973 0.2973 0.4541
Rb4 0.7027 0.7027 0.5459
Rb5 0.7585 0.7585 0.0683
Na1 0.2737 0.7263 0.5000
Na2 0.7263 0.2737 0.5000
Hg1 0.0597 0.6688 0.7526
Hg2 0.1129 0.1129 0.5842
Hg3 0.2078 0.5852 0.1486
Hg4 0.3312 0.9403 0.2474
Hg5 0.4148 0.7922 0.8514
Hg6 0.4569 0.4569 0.8069
Hg7 0.5431 0.5431 0.1931
Hg8 0.5852 0.2078 0.1486
Hg9 0.6688 0.0597 0.7526
Hg10 0.7922 0.4148 0.8514
Hg11 0.8871 0.8871 0.4158
Hg12 0.9403 0.3312 0.2474

The following is a DFT calculation (PBE-GGA) of an optimized crystal structure of Rb2Na3Hg2.

Calculated values
E_form, eV/atom: -0.154
Volume, Å³ per atom: 40.89

a b c (Å): 13.1947 5.1639 9.3450
angles (deg): 90.00 115.96 90.00
Element x y z (fractional)
Rb1 0.1408 0.0000 0.2842
Rb2 0.3592 0.5000 0.7158
Rb3 0.6408 0.5000 0.2842
Rb4 0.8592 0.0000 0.7158
Na1 0.0000 0.5000 0.5000
Na2 0.1431 0.5000 0.9331
Na3 0.3569 0.0000 0.0669
Na4 0.5000 0.0000 0.5000
Na5 0.6431 0.0000 0.9331
Na6 0.8569 0.5000 0.0669
Hg1 0.1427 0.0000 0.7126
Hg2 0.3573 0.5000 0.2874
Hg3 0.6427 0.5000 0.7126
Hg4 0.8573 0.0000 0.2874

The following is a DFT calculation (PBE-GGA) of an optimized crystal structure of Rb2NaHg4.

Calculated values
E_form, eV/atom: -0.117
Volume, Å³ per atom: 43.94
Energy above the most stable polymorph in this dataset, eV per atom: 0.0635

a b c (Å): 5.7669 5.7669 18.4957
angles (deg): 90.00 90.00 90.00
Element x y z (fractional)
Rb1 0.0000 0.0000 0.1351
Rb2 0.0000 0.0000 0.8649
Rb3 0.5000 0.5000 0.3649
Rb4 0.5000 0.5000 0.6351
Na1 0.0000 0.0000 0.5000
Na2 0.5000 0.5000 0.0000
Hg1 0.0000 0.0000 0.3345
Hg2 0.0000 0.0000 0.6655
Hg3 0.0000 0.5000 0.0000
Hg4 0.0000 0.5000 0.5000
Hg5 0.5000 0.0000 0.0000
Hg6 0.5000 0.0000 0.5000
Hg7 0.5000 0.5000 0.1655
Hg8 0.5000 0.5000 0.8345

The following is a DFT calculation (PBE-GGA) of an optimized crystal structure of Rb3NaHg6.

Calculated values
E_form, eV/atom: -0.209
Volume, Å³ per atom: 37.58

a b c (Å): 9.1711 9.1711 9.1711
angles (deg): 97.15 97.15 97.15
Element x y z (fractional)
Rb1 0.1902 0.7500 0.3098
Rb2 0.2500 0.6902 0.8098
Rb3 0.3098 0.1902 0.7500
Rb4 0.6902 0.8098 0.2500
Rb5 0.7500 0.3098 0.1902
Rb6 0.8098 0.2500 0.6902
Na1 0.0000 0.0000 0.0000
Na2 0.5000 0.5000 0.5000
Hg1 0.0344 0.0887 0.3601
Hg2 0.0887 0.3601 0.0344
Hg3 0.1399 0.4113 0.4656
Hg4 0.3601 0.0344 0.0887
Hg5 0.4113 0.4656 0.1399
Hg6 0.4656 0.1399 0.4113
Hg7 0.5344 0.8601 0.5887
Hg8 0.5887 0.5344 0.8601
Hg9 0.6399 0.9656 0.9113
Hg10 0.8601 0.5887 0.5344
Hg11 0.9113 0.6399 0.9656
Hg12 0.9656 0.9113 0.6399

The following is a DFT calculation (PBE-GGA) of an optimized crystal structure of Rb2NaHg2.

Calculated values
E_form, eV/atom: -0.189
Volume, Å³ per atom: 43.10
Energy above the most stable polymorph in this dataset, eV per atom: 0.0075

a b c (Å): 8.9218 8.9218 5.4151
angles (deg): 90.00 90.00 90.00
Element x y z (fractional)
Rb1 0.1756 0.3244 0.0000
Rb2 0.3244 0.8244 0.0000
Rb3 0.6756 0.1756 0.0000
Rb4 0.8244 0.6756 0.0000
Na1 0.0000 0.0000 0.5000
Na2 0.5000 0.5000 0.5000
Hg1 0.1235 0.6235 0.5000
Hg2 0.3765 0.1235 0.5000
Hg3 0.6235 0.8765 0.5000
Hg4 0.8765 0.3765 0.5000

The following is a DFT calculation (PBE-GGA) of an optimized crystal structure of RbNa5Hg3.

Calculated values
E_form, eV/atom: -0.146
Volume, Å³ per atom: 31.62

a b c (Å): 9.6477 9.6477 7.0597
angles (deg): 90.00 90.00 120.00
Element x y z (fractional)
Rb1 0.0000 0.0000 0.0000
Rb2 0.0000 0.0000 0.5000
Na1 0.0000 0.3463 0.2500
Na2 0.0000 0.6537 0.7500
Na3 0.3333 0.6667 0.0000
Na4 0.3333 0.6667 0.5000
Na5 0.3463 0.0000 0.2500
Na6 0.3463 0.3463 0.7500
Na7 0.6537 0.0000 0.7500
Na8 0.6537 0.6537 0.2500
Na9 0.6667 0.3333 0.0000
Na10 0.6667 0.3333 0.5000
Hg1 0.0000 0.3365 0.7500
Hg2 0.0000 0.6635 0.2500
Hg3 0.3365 0.0000 0.7500
Hg4 0.3365 0.3365 0.2500
Hg5 0.6635 0.0000 0.2500
Hg6 0.6635 0.6635 0.7500

The following is a DFT calculation (PBE-GGA) of an optimized crystal structure of Rb2NaHg2.

Calculated values
E_form, eV/atom: -0.197
Volume, Å³ per atom: 42.67
Energy above the most stable polymorph in this dataset, eV per atom: 0.0000

a b c (Å): 7.1743 7.1743 9.7633
angles (deg): 101.08 101.08 60.58
Element x y z (fractional)
Rb1 0.0106 0.2838 0.1462
Rb2 0.2838 0.0106 0.6462
Rb3 0.7162 0.9894 0.3538
Rb4 0.9894 0.7162 0.8538
Na1 0.3849 0.6151 0.2500
Na2 0.6151 0.3849 0.7500
Hg1 0.2223 0.4952 0.4926
Hg2 0.4952 0.2223 0.9926
Hg3 0.5048 0.7777 0.0074
Hg4 0.7777 0.5048 0.5074

The following is a DFT calculation (PBE-GGA) of an optimized crystal structure of RbNa8Hg6.

Calculated values
E_form, eV/atom: -0.160
Volume, Å³ per atom: 32.75

a b c (Å): 8.3729 8.3729 8.3729
angles (deg): 68.72 68.72 68.72
Element x y z (fractional)
Rb1 0.0000 0.0000 0.0000
Na1 0.1241 0.4427 0.7893
Na2 0.2107 0.8759 0.5573
Na3 0.3223 0.3223 0.3223
Na4 0.4427 0.7893 0.1241
Na5 0.5573 0.2107 0.8759
Na6 0.6777 0.6777 0.6777
Na7 0.7893 0.1241 0.4427
Na8 0.8759 0.5573 0.2107
Hg1 0.0560 0.6844 0.4091
Hg2 0.3156 0.5909 0.9440
Hg3 0.4091 0.0560 0.6844
Hg4 0.5909 0.9440 0.3156
Hg5 0.6844 0.4091 0.0560
Hg6 0.9440 0.3156 0.5909

The following is a DFT calculation (PBE-GGA) of an optimized crystal structure of RbNaHg.

Calculated values
E_form, eV/atom: -0.149
Volume, Å³ per atom: 46.15
Energy above the most stable polymorph in this dataset, eV per atom: 0.0199

a b c (Å): 5.0287 5.6299 10.9444
angles (deg): 83.23 89.69 64.30
Element x y z (fractional)
Rb1 0.1689 0.1636 0.1679
Rb2 0.8311 0.8364 0.8321
Na1 0.1564 0.1855 0.5616
Na2 0.8436 0.8145 0.4384
Hg1 0.4736 0.5535 0.6324
Hg2 0.5264 0.4465 0.3676

The following is a DFT calculation (PBE-GGA) of an optimized crystal structure of Rb3NaHg3.

Calculated values
E_form, eV/atom: -0.209
Volume, Å³ per atom: 43.67
Energy above the most stable polymorph in this dataset, eV per atom: 0.0000

a b c (Å): 7.3444 7.3444 17.9056
angles (deg): 109.12 109.12 42.54
Element x y z (fractional)
Rb1 0.0176 0.0176 0.3767
Rb2 0.1078 0.1078 0.9236
Rb3 0.2489 0.2489 0.2288
Rb4 0.7511 0.7511 0.7712
Rb5 0.8922 0.8922 0.0764
Rb6 0.9824 0.9824 0.6233
Na1 0.2612 0.2612 0.5861
Na2 0.7388 0.7388 0.4139
Hg1 0.3799 0.3799 0.4586
Hg2 0.4019 0.4019 0.9210
Hg3 0.4500 0.4500 0.7662
Hg4 0.5500 0.5500 0.2338
Hg5 0.5981 0.5981 0.0790
Hg6 0.6201 0.6201 0.5414

The following is a DFT calculation (PBE-GGA) of an optimized crystal structure of Rb3Na3Hg8.

Calculated values
E_form, eV/atom: -0.231
Volume, Å³ per atom: 33.85

a b c (Å): 10.0622 10.0622 10.0622
angles (deg): 149.37 111.73 76.66
Element x y z (fractional)
Rb1 0.0000 0.0000 0.0000
Rb2 0.2909 0.2909 0.0000
Rb3 0.7091 0.7091 0.0000
Na1 0.2914 0.5000 0.7914
Na2 0.5000 0.0000 0.5000
Na3 0.7086 0.5000 0.2086
Hg1 0.0235 0.6662 0.3573
Hg2 0.1516 0.8628 0.2888
Hg3 0.3089 0.6662 0.6427
Hg4 0.4260 0.1372 0.2888
Hg5 0.5740 0.8628 0.7113
Hg6 0.6911 0.3338 0.3573
Hg7 0.8484 0.1372 0.7113
Hg8 0.9765 0.3338 0.6427

The following is a DFT calculation (PBE-GGA) of an optimized crystal structure of Rb4NaHg.

Calculated values
E_form, eV/atom: -0.061
Volume, Å³ per atom: 63.76

a b c (Å): 10.9072 10.9072 10.9072
angles (deg): 128.90 128.90 75.17
Element x y z (fractional)
Rb1 0.0393 0.5393 0.8531
Rb2 0.1862 0.0393 0.5000
Rb3 0.3138 0.8138 0.8531
Rb4 0.4607 0.3138 0.5000
Rb5 0.5393 0.6862 0.5000
Rb6 0.6862 0.1862 0.1469
Rb7 0.8138 0.9607 0.5000
Rb8 0.9607 0.4607 0.1469
Na1 0.0000 0.0000 0.0000
Na2 0.5000 0.5000 0.0000
Hg1 0.2500 0.2500 0.0000
Hg2 0.7500 0.7500 0.0000